Record 1
VASP calculation (GGA-PBE) on a relaxed La6PRh2Br3 crystal.

Results
The space group is C2/m. For the formation energy without anion corrections, the calculation gives -121.6 kJ per mole of atoms.

Geometry as CIF:
```
data_La6PRh2Br3
_chemical_formula_sum 'La6 P1 Rh2 Br3'
_cell_length_a 7.350
_cell_length_b 7.350
_cell_length_c 8.110
_cell_angle_alpha 98.59
_cell_angle_beta 98.59
_cell_angle_gamma 120.05
_space_group_name_H-M_alt 'P 1'
_space_group_IT_number 1
loop_
_space_group_symop_operation_xyz
'x,y,z'
loop_
_atom_site_label
_atom_site_type_symbol
_atom_site_fract_x
_atom_site_fract_y
_atom_site_fract_z
La1 La 0.932 0.592 0.799
La2 La 0.726 0.726 0.202
La3 La 0.068 0.408 0.201
La4 La 0.592 0.932 0.799
La5 La 0.274 0.274 0.798
La6 La 0.408 0.068 0.201
P1 P 0.000 0.000 0.000
Rh1 Rh 0.333 0.667 0.000
Rh2 Rh 0.667 0.333 0.000
Br1 Br 0.164 0.836 0.500
Br2 Br 0.836 0.164 0.500
Br3 Br 0.500 0.500 0.500
```

---

Record 2
VASP calculation (GGA-PBE) on a relaxed SnRu2C2 crystal.

Results
As for the energy above the lowest structure with this stoichiometry: 0 meV per atom. The space group is I4/mmm. The value obtained for the formation energy is 0.68 eV/atom.

Geometry as CIF:
```
data_SnRu2C2
_chemical_formula_sum 'Sn1 Ru2 C2'
_cell_length_a 3.875
_cell_length_b 3.875
_cell_length_c 5.775
_cell_angle_alpha 70.40
_cell_angle_beta 70.40
_cell_angle_gamma 90.00
_space_group_name_H-M_alt 'P 1'
_space_group_IT_number 1
loop_
_space_group_symop_operation_xyz
'x,y,z'
loop_
_atom_site_label
_atom_site_type_symbol
_atom_site_fract_x
_atom_site_fract_y
_atom_site_fract_z
Ru1 Ru 0.750 0.250 0.500
Ru2 Ru 0.250 0.750 0.500
C1 C 0.317 0.317 0.366
C2 C 0.683 0.683 0.634
Sn1 Sn 0.000 0.000 0.000
```

---

Record 3
VASP calculation (GGA-PBE) on a relaxed TmNp2In9 crystal.

Results
The space group is P4/mmm. The value obtained for the formation energy is -0.13 eV/atom.

Geometry as CIF:
```
data_TmNp2In9
_chemical_formula_sum 'Tm1 Np2 In9'
_cell_length_a 4.628
_cell_length_b 4.628
_cell_length_c 13.914
_cell_angle_alpha 90.00
_cell_angle_beta 90.00
_cell_angle_gamma 90.00
_space_group_name_H-M_alt 'P 1'
_space_group_IT_number 1
loop_
_space_group_symop_operation_xyz
'x,y,z'
loop_
_atom_site_label
_atom_site_type_symbol
_atom_site_fract_x
_atom_site_fract_y
_atom_site_fract_z
Tm1 Tm 0.000 0.000 0.000
Np1 Np 0.000 0.000 0.331
Np2 Np 0.000 0.000 0.669
In1 In 0.500 0.500 0.000
In2 In 0.500 0.500 0.334
In3 In 0.500 0.500 0.666
In4 In 0.500 0.000 0.165
In5 In 0.500 0.000 0.500
In6 In 0.500 0.000 0.835
In7 In 0.000 0.500 0.165
In8 In 0.000 0.500 0.500
In9 In 0.000 0.500 0.835
```

---

Record 4
VASP calculation (GGA-PBE) on a relaxed KGa2As crystal.

Results
The space group is R-3m. The value obtained for the formation energy is 0.01 eV/atom.

Geometry as CIF:
```
data_KGa2As
_chemical_formula_sum 'K1 Ga2 As1'
_cell_length_a 4.037
_cell_length_b 4.037
_cell_length_c 9.692
_cell_angle_alpha 77.98
_cell_angle_beta 77.98
_cell_angle_gamma 60.00
_space_group_name_H-M_alt 'P 1'
_space_group_IT_number 1
loop_
_space_group_symop_operation_xyz
'x,y,z'
loop_
_atom_site_label
_atom_site_type_symbol
_atom_site_fract_x
_atom_site_fract_y
_atom_site_fract_z
As1 As 0.500 0.500 0.500
K1 K 0.000 0.000 0.000
Ga1 Ga 0.119 0.119 0.643
Ga2 Ga 0.881 0.881 0.357
```

---

Number 1: total DFT energy (no corrections) -69.8 eV/f.u.. Number 2: total DFT energy (no corrections) -37.6 eV/f.u.. Number 3: total DFT energy (no corrections) -56.5 eV/f.u.. Number 4: total DFT energy (no corrections) -11.8 eV/f.u..